# 1
VASP calculation (PBE) on Hg2Os after structural relaxation.

```
Hg2Os
1.0
6.926 7.544 -0.858
-7.540 -6.752 -1.781
-3.196 3.125 1.681
Hg Os
4 2
Direct
0.001 0.999 0.000 Hg
0.306 0.694 0.000 Hg
0.644 0.356 0.000 Hg
0.416 0.584 0.500 Hg
0.784 0.216 0.500 Os
0.182 0.818 0.500 Os
```

## Properties
For the mass density, the calculation gives 14.31 g cm⁻³. The calculation puts the formation energy at 186 kJ/mol of formula units. The magnetic moment is 0.000 Bohr magnetons per cell. The space group is No. 38.

# 2
VASP calculation (PBE) on HgOs after structural relaxation.

```
HgOs
1.0
4.082 0.000 0.000
0.000 6.560 0.000
0.000 0.000 9.716
Hg Os
6 6
Direct
0.000 0.639 0.837 Hg
0.500 0.361 0.663 Hg
0.500 0.361 0.337 Hg
0.000 0.639 0.163 Hg
0.000 0.006 0.500 Hg
0.500 0.994 0.000 Hg
0.000 0.087 0.791 Os
0.500 0.913 0.709 Os
0.500 0.913 0.291 Os
0.000 0.087 0.209 Os
0.000 0.289 0.000 Os
0.500 0.711 0.500 Os
```

## Properties
For the mass density, the calculation gives 14.96 g cm⁻³. The calculation puts the formation energy at 177 kJ/mol of formula units. The magnetic moment is 0.532 Bohr magnetons per cell. The space group is No. 59. The value obtained for the energy above the most stable polymorph in this dataset is 0.518 eV/atom.

# 3
VASP calculation (PBE) on HgOs after structural relaxation.

```
HgOs
1.0
-2.719 -0.530 -0.834
2.119 0.121 -1.967
1.497 -9.313 1.041
Hg Os
2 2
Direct
0.000 0.000 0.000 Hg
0.000 0.000 0.500 Hg
0.333 0.667 0.250 Os
0.667 0.333 0.750 Os
```

## Properties
For the mass density, the calculation gives 18.86 g cm⁻³. The calculation puts the formation energy at 191 kJ/mol of formula units. The magnetic moment is 0.002 Bohr magnetons per cell. The space group is No. 194. The value obtained for the energy above the most stable polymorph in this dataset is 0.589 eV/atom.